# 1
The following is a DFT calculation (PBE) of crystalline TmInTeSe at its relaxed geometry.

crystal system = trigonal
uncorrected formation energy = -106.2 kJ/mol of atoms
final energy = -4.560 eV per atom

Lattice parameters (Å, degrees): 4.2146 4.2146 24.4552 90.00 90.00 120.00
Closest atoms and distances in Å follow each position.
Space group R3m (No. 160, hexagonal axes)
One atom of each set of equivalent atoms:
Tm: 0.0000 0.0000 0.0000  3 Se 2.82, 3 Te 3.10
In: 0.0000 0.0000 0.8289  3 Te 3.33, 3 Se 3.52
Te: 0.0000 0.0000 0.5884  3 Tm 3.10, 3 In 3.33
Se: 0.0000 0.0000 0.3916  3 Tm 2.82

***

# 2
The following is a DFT calculation (PBE) of crystalline Tl2HPd2 at its relaxed geometry.

ΔE to the lowest computed polymorph = 346 meV per atom
crystal system = tetragonal
final energy = -3.408 eV per atom

Lattice parameters (Å, degrees): 3.7832 3.7832 14.4848 90.00 90.00 90.00
Closest atoms and distances in Å follow each position.
Space group I4/mmm (No. 139)
One atom of each set of equivalent atoms:
Tl: 0.0000 0.0000 0.1010  4 Pd 2.87, 1 Tl 2.92, 4 H 3.05
H: 0.0000 0.0000 0.5000  8 Tl 3.05
Pd: 0.0000 0.5000 0.2500  4 Pd 2.68, 4 Tl 2.87

***

# 3
The following is a DFT calculation (PBE) of crystalline MgCrMo at its relaxed geometry.

ΔE to the lowest computed polymorph = 660 meV per atom
crystal system = cubic
final energy = -6.381 eV per atom

Lattice parameters (Å, degrees): 6.0210 6.0210 6.0210 90.00 90.00 90.00
Closest atoms and distances in Å follow each position.
Space group F-43m (No. 216)
One atom of each set of equivalent atoms:
Mg: 0.0000 0.0000 0.0000  4 Cr 2.61
Cr: 0.2500 0.2500 0.7500  4 Mo 2.61, 4 Mg 2.61
Mo: 0.0000 0.0000 0.5000  4 Cr 2.61

***

# 4
The following is a DFT calculation (PBE) of crystalline Sr2TiCu at its relaxed geometry.

ΔE to the lowest computed polymorph = 80 meV per atom
crystal system = tetragonal
final energy = -3.143 eV per atom

Lattice parameters (Å, degrees): 8.8637 8.8637 6.4678 90.00 90.00 90.00
Closest atoms and distances in Å follow each position.
Space group I-42d (No. 122)
One atom of each set of equivalent atoms:
Sr: 0.1928 0.2500 0.1250  2 Cu 2.91
Ti: 0.0000 0.0000 0.5000  2 Cu 3.23, 4 Sr 3.60
Cu: 0.0000 0.0000 0.0000  4 Sr 2.91, 2 Ti 3.23

***

# 5
The following is a DFT calculation (PBE) of crystalline Ba2Na3Li2 at its relaxed geometry.

ΔE to the lowest computed polymorph = 12 meV per atom
crystal system = monoclinic
final energy = -1.631 eV per atom

Lattice parameters (Å, degrees): 13.2462 5.2141 9.2469 90.00 115.91 90.00
Closest atoms and distances in Å follow each position.
Space group C2/m (No. 12)
One atom of each set of equivalent atoms:
Ba: 0.1419 0.0000 0.2770  4 Li 3.79-3.90, 7 Na 4.06-4.24
Na: 0.0000 0.5000 0.5000  4 Li 3.23
Na: 0.1361 0.5000 0.9372  3 Li 3.43, 3 Na 3.64-3.77
Li: 0.1351 0.0000 0.6948  5 Na 3.23-3.43

***

# 6
The following is a DFT calculation (PBE) of crystalline LiScGe at its relaxed geometry.

crystal system = orthorhombic
final energy = -4.704 eV per atom

Lattice parameters (Å, degrees): 3.8014 4.3905 13.0770 90.00 90.00 90.00
Closest atoms and distances in Å follow each position.
Space group Amm2 (No. 38)
One atom of each set of equivalent atoms:
Li: 0.0000 0.0000 0.0000  2 Li 2.88, 6 Ge 2.91-3.03, 4 Sc 2.93-3.06
Li: 0.5000 0.0000 0.1650  2 Li 2.88, 6 Sc 2.90-3.09, 4 Ge 2.97-2.98
Sc: 0.0000 0.0000 0.3513  6 Ge 2.84-2.93, 4 Li 2.93-3.09
Sc: 0.0000 0.0000 0.6633  4 Ge 2.74-2.79, 6 Li 2.90-3.06
Ge: 0.5000 0.0000 0.5122  4 Sc 2.74-2.84, 6 Li 2.91-2.97
Ge: 0.5000 0.0000 0.8192  6 Sc 2.79-2.93, 4 Li 2.98-3.03